# 1
Here is an optimized crystal structure of Ba2NaIn3Pd4 from Alexandria via LeMat-Bulk. Energies are from PBE-GGA.

Calculated values
electronic total energy = -39.40 eV per formula unit
formation energy = -0.525 eV per atom
SG = No. 115

a = 4.8562 Å, b = 4.8562 Å, c = 10.8942 Å
α = 90.00°, β = 90.00°, γ = 90.00°
Fractional coordinates of all 10 atoms:
Ba 0.5000 0.0000 0.2379
Ba 0.0000 0.5000 0.7621
Na 0.5000 0.5000 0.5000
In 0.0000 0.0000 0.5000
In 0.5000 0.0000 0.8866
In 0.0000 0.5000 0.1134
Pd 0.5000 0.5000 0.0000
Pd 0.0000 0.0000 0.0000
Pd 0.5000 0.0000 0.6367
Pd 0.0000 0.5000 0.3633

# 2
Here is an optimized crystal structure of In2AgTeH from Alexandria via LeMat-Bulk. Energies are from PBE-GGA.

Calculated values
electronic total energy = -14.26 eV per formula unit
SG = No. 123

a = 5.6713 Å, b = 5.6713 Å, c = 3.6577 Å
α = 90.00°, β = 90.00°, γ = 90.00°
Fractional coordinates of all 5 atoms:
H 0.0000 0.0000 0.5000
Te 0.5000 0.5000 0.5000
Ag 0.0000 0.0000 0.0000
In 0.0000 0.5000 0.0000
In 0.5000 0.0000 0.0000

Q: Which of these has the highest electronic total energy?
A: In2AgTeH

Q: The highest electronic total energy belongs to which entry?
A: In2AgTeH